An optimized crystal structure of KSi2Se. Source: the Alexandria database, functional PBE.

Structure (POSCAR):
```
KSi2Se
1.0
2.026 -2.132 0.000
2.026 2.132 0.000
0.000 0.000 10.559
K Si Se
1 2 1
Direct
0.000 0.000 0.000
0.000 0.000 0.416
0.500 0.500 0.259
0.500 0.500 0.762
```

Summary:
D(E_F) (states/eV per cell): 1.2
Energy relative to the elements, uncorrected (eV/atom): 0.275
Crystal system: orthorhombic
Magnetization (Bohr magnetons per cell): 0.00
SG: Cmm2
Theoretical density (g/cm3): 3.171